First-principles (PBE) data for crystalline KSnAu4 at its relaxed geometry, as listed in Alexandria via LeMat-Bulk.

D(E_F) in states/eV per atom: 0.30
DFT total energy in eV/f.u.: -18.866
E_form in meV/atom: -109
Energy above the lowest structure with this stoichiometry in meV/atom: 8
M_tot in μB per cell: 0.0

Lattice parameters (Å, degrees): 4.320 17.798 7.116 90.00 90.00 90.00
Space group Cmcm (No. 63)
One atom of each set of equivalent atoms:
1 K 0.000 0.103 0.250 (multiplicity 4)
2 Sn 0.000 0.241 0.750 (multiplicity 4)
3 Au 0.000 0.072 0.750 (multiplicity 4)
4 Au 0.000 0.339 0.055 (multiplicity 8)
5 Au 0.000 0.500 0.000 (multiplicity 4)